Entry from Alexandria: crystalline Rb2Na4Pd at its relaxed geometry (PBE).

Geometry as POSCAR:
```
Rb2Na4Pd
1.0
-1.116 -5.480 1.346
5.093 -1.569 -2.165
2.200 4.856 9.300
Na Rb Pd
4 2 1
Cartesian
2.547 -0.784 -1.082
1.178 0.374 2.500
-0.558 -2.740 0.673
5.000 -2.567 5.982
3.240 -3.126 2.248
2.937 0.934 6.234
0.000 0.000 0.000
```

Computed properties:
As for the energy of formation: 4.75 kJ per mole of atoms. Its mass density is 1.9 g/cm³. The density of states at the Fermi level comes out at 3.55 states/eV/cell. As for the calculated volume: 46.9 Å³ per atom.